[1]
CaZr2MoS: relaxed, GGA-PBE.

Structure (POSCAR):
```
CaZr2MoS
1.0
4.9878 0.0000 0.0000
0.0000 4.9878 0.0000
0.0000 0.0000 4.5110
Ca Zr Mo S
1 2 1 1
Direct
0.0000 0.0000 0.0000
0.0000 0.5000 0.5000
0.5000 0.0000 0.5000
0.5000 0.5000 0.0000
0.5000 0.5000 0.5000
```

Calculated values
The value obtained for the density of states at the Fermi level is 7.3 states/eV/f.u. As for the symmetry: No. 123. For the energy relative to the elements, uncorrected, the calculation gives -0.122 eV per atom.

***

[2]
CaSbMo4: relaxed, GGA-PBE.

Structure (POSCAR):
```
CaSbMo4
1.0
0.0000 3.8393 3.8393
3.8393 0.0000 3.8393
3.8393 3.8393 0.0000
Ca Sb Mo
1 1 4
Direct
0.0000 0.0000 0.0000
0.2500 0.2500 0.2500
0.1260 0.6247 0.6247
0.6247 0.1260 0.6247
0.6247 0.6247 0.1260
0.6247 0.6247 0.6247
```

Calculated values
The value obtained for the density of states at the Fermi level is 5.2 states/eV/f.u. As for the symmetry: No. 216. For the energy relative to the elements, uncorrected, the calculation gives 0.391 eV per atom.

***

[3]
CaSbMo2: relaxed, GGA-PBE.

Structure (POSCAR):
```
CaSbMo2
1.0
8.4859 0.0000 0.0000
0.0000 3.3396 0.0000
-1.0842 0.0000 6.4794
Ca Sb Mo
2 2 4
Direct
0.0000 0.0000 0.0000
0.5000 0.5000 0.0000
0.2623 0.5000 0.3242
0.7623 0.0000 0.3242
0.0076 0.5000 0.5394
0.2303 0.0000 0.6728
0.5076 0.0000 0.5394
0.7303 0.5000 0.6728
```

Calculated values
The value obtained for the density of states at the Fermi level is 3.3 states/eV/f.u. As for the symmetry: No. 8. For the energy relative to the elements, uncorrected, the calculation gives 0.243 eV per atom.

***

[4]
Ca2SbMo: relaxed, GGA-PBE.

Structure (POSCAR):
```
Ca2SbMo
1.0
4.5407 0.0000 0.0000
0.0000 4.1823 0.0000
0.0000 0.0000 11.7386
Ca Sb Mo
4 2 2
Direct
0.0000 0.0000 0.0000
0.0000 0.5000 0.5000
0.5000 0.0000 0.3002
0.5000 0.5000 0.8002
0.0000 0.0000 0.7107
0.0000 0.5000 0.2107
0.5000 0.0000 0.5892
0.5000 0.5000 0.0892
```

Calculated values
The value obtained for the density of states at the Fermi level is 3.9 states/eV/f.u. As for the symmetry: No. 38. For the energy relative to the elements, uncorrected, the calculation gives 0.107 eV per atom.